This record from Alexandria via LeMat-Bulk describes a geometry-optimized Tb6PtRh5 structure. The functional is GGA-PBE.

Results
M_tot = 0.000 μB/cell
Density = 11.19 g cm⁻³
ΔH_f (0 K) = -0.91 eV/atom

abc: 4.883 8.457 8.457
angles: 120.07 106.76 106.76
Sites, in units of the cell vectors:
1 Rh 0.500 0.169 0.831
2 Rh 0.000 0.334 0.666
3 Rh 0.500 0.500 0.500
4 Rh 0.000 0.666 0.334
5 Rh 0.500 0.831 0.169
6 Tb 0.251 0.083 0.418
7 Tb 0.749 0.582 0.917
8 Tb 0.752 0.252 0.252
9 Tb 0.248 0.748 0.748
10 Tb 0.251 0.418 0.083
11 Tb 0.749 0.917 0.582
12 Pt 0.000 0.000 0.000